# Na5CoO6

A relaxed structure of Na5CoO6 (GGA+U, Alexandria via LeMat-Bulk).

Geometry as CIF:
```
data_Na5CoO6
_space_group_name_H-M_alt 'C 1 2/m 1'
_space_group_IT_number 12
_space_group_name_Hall '-C 2y'
_cell_length_a 5.760
_cell_length_b 9.820
_cell_length_c 5.632
_cell_angle_alpha 90.00
_cell_angle_beta 111.23
_cell_angle_gamma 90.00
loop_
_atom_site_label
_atom_site_type_symbol
_atom_site_fract_x
_atom_site_fract_y
_atom_site_fract_z
Na1 Na 0.000 0.000 0.000
Na2 Na 0.000 0.168 0.500
Na3 Na 0.000 0.330 0.000
Co1 Co 0.000 0.500 0.500
O1 O 0.192 0.500 0.308
O2 O 0.206 0.363 0.714
```

Calculated values
**Fermi-level density of states**: 14.1 states/eV per cell
**V**: 12.374 Å³/atom
**Calculated density**: 3.0 g/cm³
**Raw total energy**: -4.47 eV per atom